No. 1
# CuGe2Rh (GGA-PBE, optimized geometry)
data_CuGe2Rh
_chemical_formula_sum 'Cu4 Ge8 Rh4'
_symmetry_space_group_name_H-M 'F m -3 m'
_symmetry_Int_Tables_number 225
_symmetry_space_group_name_Hall '-F 4 2 3'
_cell_length_a 6.180
_cell_length_b 6.180
_cell_length_c 6.180
_cell_angle_alpha 90.00
_cell_angle_beta 90.00
_cell_angle_gamma 90.00
loop_
_atom_site_label
_atom_site_type_symbol
_atom_site_fract_x
_atom_site_fract_y
_atom_site_fract_z
_atom_site_occupancy
Cu1 Cu 0.000 0.000 0.000 1
Ge1 Ge 0.250 0.250 0.250 1
Rh1 Rh 0.000 0.000 0.500 1
# Excess energy over the best structure of this formula in the dataset: 7.94 kJ/mol of atoms
# Electronic total energy: -5.211 eV/atom
# Formation energy from the elements: -40 meV/atom

=====

No. 2
# CuGeRh3 (GGA-PBE, optimized geometry)
data_CuGeRh3
_chemical_formula_sum 'Cu1 Ge1 Rh3'
_symmetry_space_group_name_H-M 'P m -3 m'
_symmetry_Int_Tables_number 221
_symmetry_space_group_name_Hall '-P 4 2 3'
_cell_length_a 4.476
_cell_length_b 4.476
_cell_length_c 4.476
_cell_angle_alpha 90.00
_cell_angle_beta 90.00
_cell_angle_gamma 90.00
loop_
_atom_site_label
_atom_site_type_symbol
_atom_site_fract_x
_atom_site_fract_y
_atom_site_fract_z
_atom_site_occupancy
Cu1 Cu 0.000 0.000 0.000 1
Ge1 Ge 0.500 0.500 0.500 1
Rh1 Rh 0.000 0.000 0.500 1
# Excess energy over the best structure of this formula in the dataset: 27.90 kJ/mol of atoms
# Electronic total energy: -5.117 eV/atom
# Formation energy from the elements: 1037 meV/atom

=====

No. 3
# Cu3GeRh (GGA-PBE, optimized geometry)
data_Cu3GeRh
_chemical_formula_sum 'Cu3 Ge1 Rh1'
_symmetry_space_group_name_H-M 'P m -3 m'
_symmetry_Int_Tables_number 221
_symmetry_space_group_name_Hall '-P 4 2 3'
_cell_length_a 4.376
_cell_length_b 4.376
_cell_length_c 4.376
_cell_angle_alpha 90.00
_cell_angle_beta 90.00
_cell_angle_gamma 90.00
loop_
_atom_site_label
_atom_site_type_symbol
_atom_site_fract_x
_atom_site_fract_y
_atom_site_fract_z
_atom_site_occupancy
Cu1 Cu 0.000 0.000 0.500 1
Ge1 Ge 0.000 0.000 0.000 1
Rh1 Rh 0.500 0.500 0.500 1
# Excess energy over the best structure of this formula in the dataset: 0.00 kJ/mol of atoms
# Electronic total energy: -4.055 eV/atom
# Formation energy from the elements: 796 meV/atom

=====

Question: Among the records above, which one has the highest electronic total energy?
Answer: Cu3GeRh